1.
First-principles (PBE) data for crystalline Tb4Sc5Tl6 at its relaxed geometry, as listed in Alexandria.

Properties
* E_tot: -4.453 eV per atom
* formation enthalpy at 0 K: -0.1610 eV/atom
* volume: 26.89 Å³ per atom

Lattice parameters (Å, degrees): 3.6695 26.2678 16.7380 90.00 90.00 90.00
Last column: nearest neighbours and their distance in Å.
Space group Cmc2_1 (No. 36)
Inequivalent atoms, fractional coordinates:
Tb 0.0000 0.0230 0.0000 (multiplicity 4)  7 Tl 3.26-3.63, 4 Sc 3.44-3.46
Tb 0.0000 0.0630 0.2788 (multiplicity 4)  6 Tl 3.28-3.37, 4 Sc 3.50-3.51, 2 Tb 3.67
Tb 0.0000 0.1297 0.7701 (multiplicity 4)  5 Tl 3.09-3.26
Tb 0.0000 0.1743 0.4182 (multiplicity 4)  5 Tl 3.20-3.44, 4 Sc 3.40-3.47
Sc 0.0000 0.1820 0.0863 (multiplicity 4)  3 Tl 2.97-3.10, 5 Sc 3.25-3.27
Sc 0.0000 0.3056 0.0911 (multiplicity 4)  3 Tl 2.96-3.03, 1 Sc 3.25
Sc 0.0000 0.3250 0.7474 (multiplicity 4)  3 Tl 3.06, 2 Sc 3.27, 2 Tb 3.40
Sc 0.0000 0.3713 0.4478 (multiplicity 4)  4 Tl 3.02-3.17, 2 Sc 3.27
Sc 0.0000 0.4779 0.1607 (multiplicity 4)  4 Tl 2.98-3.04
Tl 0.0000 0.1026 0.5902 (multiplicity 4)  4 Sc 3.03-3.04, 1 Tb 3.09, 2 Tl 3.14
Tl 0.0000 0.2260 0.9227 (multiplicity 4)  3 Sc 2.97-3.17, 2 Tb 3.20, 2 Tl 3.32
Tl 0.0000 0.2681 0.2578 (multiplicity 4)  3 Sc 2.96-3.06, 2 Tb 3.26
Tl 0.0000 0.4101 0.6222 (multiplicity 4)  5 Sc 3.01-3.10, 4 Tb 3.26-3.28
Tl 0.0000 0.4262 0.9445 (multiplicity 4)  3 Tl 3.14-3.45, 6 Tb 3.24-3.34
Tl 0.0000 0.4617 0.3366 (multiplicity 4)  2 Sc 2.98-3.02, 4 Tb 3.22-3.32

2.
First-principles (PBE) data for crystalline Tb4ScTl at its relaxed geometry, as listed in Alexandria.

Properties
* E_tot: -4.475 eV per atom
* formation enthalpy at 0 K: 0.0612 eV/atom
* volume: 30.64 Å³ per atom

Lattice parameters (Å, degrees): 3.4801 5.6571 9.3376 90.00 90.00 90.00
Last column: nearest neighbours and their distance in Å.
Space group Pmmm (No. 47)
Inequivalent atoms, fractional coordinates:
Tb 0.0000 0.0000 0.1874 (multiplicity 2)  2 Tl 3.33, 2 Sc 3.40, 7 Tb 3.48-3.51
Tb 0.5000 0.5000 0.3098 (multiplicity 2)  2 Sc 3.34, 2 Tl 3.38, 7 Tb 3.48-3.55
Sc 0.5000 0.0000 0.5000 (multiplicity 1)  8 Tb 3.34-3.40, 2 Sc 3.48
Tl 0.0000 0.5000 0.0000 (multiplicity 1)  8 Tb 3.33-3.38, 2 Tl 3.48

3.
First-principles (PBE) data for crystalline TbSc5Tl4 at its relaxed geometry, as listed in Alexandria.

Properties
* E_tot: -4.784 eV per atom
* formation enthalpy at 0 K: -0.2090 eV/atom
* volume: 24.42 Å³ per atom

Lattice parameters (Å, degrees): 3.4412 3.4412 20.6221 90.00 90.00 90.00
Last column: nearest neighbours and their distance in Å.
Space group P4/mmm (No. 123)
Inequivalent atoms, fractional coordinates:
Tb 0.0000 0.0000 0.0000 (multiplicity 1)  8 Sc 3.39, 4 Tb 3.44
Sc 0.5000 0.5000 0.1146 (multiplicity 2)  4 Tl 3.12, 4 Tb 3.39, 4 Sc 3.44
Sc 0.5000 0.5000 0.3060 (multiplicity 2)  8 Tl 3.15, 4 Sc 3.44
Sc 0.5000 0.5000 0.5000 (multiplicity 1)  8 Tl 3.15, 4 Sc 3.44
Tl 0.0000 0.0000 0.2093 (multiplicity 2)  8 Sc 3.12-3.15, 4 Tl 3.44
Tl 0.0000 0.0000 0.4031 (multiplicity 2)  8 Sc 3.15, 4 Tl 3.44

4.
First-principles (PBE) data for crystalline Tb4Sc5Tl2 at its relaxed geometry, as listed in Alexandria.

Properties
* E_tot: -4.751 eV per atom
* formation enthalpy at 0 K: 0.2406 eV/atom
* volume: 30.15 Å³ per atom

Lattice parameters (Å, degrees): 4.9777 4.9777 46.3745 90.00 90.00 120.00
Last column: nearest neighbours and their distance in Å.
Space group R-3m (No. 166, hexagonal axes)
Inequivalent atoms, fractional coordinates:
Tb 0.0000 0.0000 0.0720 (multiplicity 6)  3 Tl 3.28, 5 Sc 3.34-3.59, 3 Tb 3.41
Tb 0.0000 0.0000 0.2217 (multiplicity 6)  5 Sc 3.36-3.72, 3 Tb 3.41
Sc 0.0000 0.0000 0.0000 (multiplicity 3)  6 Sc 3.22, 2 Tb 3.34, 6 Tl 3.36
Sc 0.0000 0.0000 0.1494 (multiplicity 6)  3 Sc 3.29, 5 Tb 3.36-3.59
Sc 0.0000 0.0000 0.3019 (multiplicity 6)  4 Tl 2.89-3.21, 3 Sc 3.22
Tl 0.0000 0.0000 0.3710 (multiplicity 6)  4 Sc 2.89-3.21

5.
First-principles (PBE) data for crystalline Tb5ScTl8 at its relaxed geometry, as listed in Alexandria.

Properties
* E_tot: -3.686 eV per atom
* formation enthalpy at 0 K: -0.2283 eV/atom
* volume: 28.11 Å³ per atom

Lattice parameters (Å, degrees): 9.2916 9.2916 9.1153 90.00 90.00 90.00
Last column: nearest neighbours and their distance in Å.
Space group I-4 (No. 82)
Inequivalent atoms, fractional coordinates:
Tb 0.0000 0.0000 0.0000 (multiplicity 2)  8 Tl 3.21-3.24
Tb 0.1170 0.2391 0.3716 (multiplicity 8)  8 Tl 3.15-3.32
Sc 0.0000 0.5000 0.7500 (multiplicity 2)  8 Tl 3.07-3.10
Tl 0.0730 0.3354 0.0364 (multiplicity 8)  1 Sc 3.10, 5 Tb 3.21-3.32, 2 Tl 3.29-3.35
Tl 0.0870 0.1837 0.7111 (multiplicity 8)  1 Sc 3.07, 5 Tb 3.15-3.24, 1 Tl 3.29

6.
First-principles (PBE) data for crystalline Tb5ScTl3 at its relaxed geometry, as listed in Alexandria.

Properties
* E_tot: -4.318 eV per atom
* formation enthalpy at 0 K: -0.2531 eV/atom
* volume: 27.98 Å³ per atom

Lattice parameters (Å, degrees): 9.3470 9.3470 6.6567 90.00 90.00 120.00
Last column: nearest neighbours and their distance in Å.
Space group P6_3/mcm (No. 193)
Inequivalent atoms, fractional coordinates:
Tb 0.0000 0.3236 0.2500 (multiplicity 6)  5 Tl 3.10-3.33, 2 Sc 3.45
Tb 0.3333 0.6667 0.0000 (multiplicity 4)  8 Tb 3.33-3.57, 6 Tl 3.51
Sc 0.0000 0.0000 0.0000 (multiplicity 2)  2 Sc 3.33, 6 Tb 3.45, 6 Tl 3.57
Tl 0.0000 0.3382 0.7500 (multiplicity 6)  5 Tb 3.10-3.33

7.
First-principles (PBE) data for crystalline TbSc7Tl4 at its relaxed geometry, as listed in Alexandria.

Properties
* E_tot: -4.835 eV per atom
* formation enthalpy at 0 K: 0.0330 eV/atom
* volume: 25.64 Å³ per atom

Lattice parameters (Å, degrees): 13.2530 5.3562 10.4877 90.00 124.26 90.00
Last column: nearest neighbours and their distance in Å.
Space group C2/m (No. 12)
Inequivalent atoms, fractional coordinates:
Tb 0.0000 0.0000 0.0000 (multiplicity 2)  2 Sc 2.68
Sc 0.0000 0.5000 0.0000 (multiplicity 2)  2 Tb 2.68, 4 Tl 2.91-2.99
Sc 0.0560 0.0000 0.3771 (multiplicity 4)  3 Tl 2.99-3.13, 3 Sc 3.06-3.31
Sc 0.1747 0.5000 0.5996 (multiplicity 4)  4 Tl 2.85-3.04
Sc 0.2170 0.0000 0.8792 (multiplicity 4)  4 Tl 2.97-3.08, 2 Sc 3.06-3.21
Tl 0.0778 0.5000 0.7823 (multiplicity 4)  7 Sc 2.85-3.13, 1 Tl 3.13
Tl 0.1958 0.5000 0.3266 (multiplicity 4)  6 Sc 2.91-3.04, 1 Tl 3.13

8.
First-principles (PBE) data for crystalline Tb15Sc4Tl at its relaxed geometry, as listed in Alexandria.

Properties
* E_tot: -4.865 eV per atom
* formation enthalpy at 0 K: -0.0080 eV/atom
* volume: 29.77 Å³ per atom

Lattice parameters (Å, degrees): 4.9011 4.9011 24.7858 90.00 90.00 90.00
Last column: nearest neighbours and their distance in Å.
Space group P4/mmm (No. 123)
Inequivalent atoms, fractional coordinates:
Tb 0.0000 0.0000 0.0000 (multiplicity 1)  4 Tl 3.47, 8 Tb 3.49
Tb 0.0000 0.0000 0.1995 (multiplicity 2)  4 Sc 3.47, 8 Tb 3.47-3.50
Tb 0.0000 0.0000 0.3997 (multiplicity 2)  4 Sc 3.47, 8 Tb 3.48-3.49
Tb 0.0000 0.5000 0.1005 (multiplicity 4)  8 Tb 3.47-3.49, 2 Sc 3.48, 2 Tl 3.49
Tb 0.0000 0.5000 0.3001 (multiplicity 4)  8 Tb 3.47-3.50, 4 Sc 3.48
Tb 0.0000 0.5000 0.5000 (multiplicity 2)  8 Tb 3.47-3.49, 4 Sc 3.48
Sc 0.5000 0.5000 0.2003 (multiplicity 2)  12 Tb 3.47-3.48
Sc 0.5000 0.5000 0.4000 (multiplicity 2)  12 Tb 3.47-3.48
Tl 0.5000 0.5000 0.0000 (multiplicity 1)  12 Tb 3.47-3.49

9.
First-principles (PBE) data for crystalline TbSc4Tl5 at its relaxed geometry, as listed in Alexandria.

Properties
* E_tot: -4.454 eV per atom
* formation enthalpy at 0 K: -0.2753 eV/atom
* volume: 24.23 Å³ per atom

Lattice parameters (Å, degrees): 3.6173 3.6173 18.5217 90.00 90.00 90.00
Last column: nearest neighbours and their distance in Å.
Space group P4/mmm (No. 123)
Inequivalent atoms, fractional coordinates:
Tb 0.0000 0.0000 0.0000 (multiplicity 1)  8 Tl 3.28, 4 Tb 3.62
Sc 0.0000 0.0000 0.2090 (multiplicity 2)  8 Tl 3.13
Sc 0.0000 0.0000 0.4032 (multiplicity 2)  8 Tl 3.12-3.13
Tl 0.5000 0.5000 0.1111 (multiplicity 2)  4 Sc 3.13, 4 Tb 3.28
Tl 0.5000 0.5000 0.3062 (multiplicity 2)  8 Sc 3.13
Tl 0.5000 0.5000 0.5000 (multiplicity 1)  8 Sc 3.12

10.
First-principles (PBE) data for crystalline Tb3ScTl at its relaxed geometry, as listed in Alexandria.

Properties
* E_tot: -4.633 eV per atom
* formation enthalpy at 0 K: -0.1156 eV/atom
* volume: 28.05 Å³ per atom

Lattice parameters (Å, degrees): 4.7629 24.7175 4.7645 90.00 90.00 90.00
Last column: nearest neighbours and their distance in Å.
Space group Cmcm (No. 63)
Inequivalent atoms, fractional coordinates:
Tb 0.0000 0.0525 0.2500 (multiplicity 4)  8 Tb 3.37-3.56, 2 Sc 3.41, 2 Tl 3.43
Tb 0.0000 0.2498 0.2500 (multiplicity 4)  4 Tb 3.37, 4 Tl 3.39, 4 Sc 3.41
Tb 0.0000 0.4456 0.2500 (multiplicity 4)  8 Tb 3.37-3.59, 2 Sc 3.37, 2 Tl 3.40
Sc 0.0000 0.1511 0.7500 (multiplicity 4)  4 Tl 3.37, 8 Tb 3.37-3.41
Tl 0.0000 0.3476 0.7500 (multiplicity 4)  4 Sc 3.37, 8 Tb 3.39-3.43